Material: CaReRu2
Method: DFT, GGA-PBE
State: optimized geometry

a b c (Å): 2.760 2.760 8.755
angles (deg): 90.00 90.00 90.00
Atoms (fractional coordinates):
1 Ca 0.000 0.000 0.000
2 Re 0.500 0.500 0.291
3 Ru 0.000 0.000 0.521
4 Ru 0.500 0.500 0.720

- Calculated volume: 16.669 Å³ per atom
- Energy of formation from the pure elements: 0.451 eV/atom
- DOS at the Fermi energy: 4.2 states/eV per cell
- Magnetization: 0.00 μB/f.u.
- Energy relative to the lowest polymorph listed for this composition: 199 meV per atom
- Space-group type: P4mm